The following is a PBE+U calculation of a geometry-optimized Ba2PmW3O12 structure, from Alexandria. Values from VASP.

Cell and atoms, written as Quantum ESPRESSO input:
```
&SYSTEM
  ibrav = 0, nat = 18, ntyp = 4
/
ATOMIC_SPECIES
Ba 137.33 Ba.upf
Pm 145.00 Pm.upf
W 183.84 W.upf
O 16.00 O.upf
CELL_PARAMETERS angstrom
7.1507 -0.2060 -0.1461
3.3522 6.3197 -0.1461
3.3522 1.9513 6.0126
ATOMIC_POSITIONS crystal
Ba 0.6253 0.6253 0.6253
Ba 0.3747 0.3747 0.3747
Pm 0.0000 0.0000 0.0000
W 0.5000 0.0000 0.0000
W 0.0000 0.5000 0.0000
W 0.0000 0.0000 0.5000
O 0.2822 0.2822 0.9083
O 0.8785 0.8785 0.4048
O 0.4048 0.8785 0.8785
O 0.9083 0.2822 0.2822
O 0.8785 0.4048 0.8785
O 0.2822 0.9083 0.2822
O 0.7178 0.7178 0.0917
O 0.1215 0.1215 0.5952
O 0.5952 0.1215 0.1215
O 0.0917 0.7178 0.7178
O 0.1215 0.5952 0.1215
O 0.7178 0.0917 0.7178
```

Magnetization = 1.0 Bohr magnetons per cell
Calculated total energy = -133.55 eV for the cell shown
Volume = 280 Å³ per cell